The following is a PBE-GGA calculation of DyHoSe2O after structural relaxation, from Alexandria via LeMat-Bulk.

Properties
The raw formation energy comes out at -2.41 eV per atom. The total energy is -6.64 eV per atom. For the density of states at the Fermi level, the calculation gives 2.3 states/eV/cell. The calculation puts the total magnetization at 0.00 μB/cell.

a = 3.956 Å, b = 3.956 Å, c = 14.523 Å
α = 90.00°, β = 90.00°, γ = 90.00°
Element x y z (fractional)
O (0.500, 0.500, 0.500)
Se (0.000, 0.500, 0.088)
Se (0.500, 0.000, 0.309)
Ho (0.500, 0.000, 0.129)
O (0.000, 0.000, 0.500)
Dy (0.000, 0.500, 0.424)
Se (0.500, 0.000, 0.912)
Dy (0.500, 0.000, 0.576)
Se (0.000, 0.500, 0.691)
Ho (0.000, 0.500, 0.871)